A geometry-optimized La8Pm3Tm structure, computed with PBE-GGA.

Computed properties:
The total energy is -57.7 eV per cell. As for the energy of formation from the pure elements: 0.0358 eV per atom. The magnetic moment is 0.0 μB per formula unit.

Unit cell a=6.4713 b=8.7936 c=8.8145 alpha=79.14 beta=68.50 gamma=68.59
Closest atoms and distances in Å follow each position.
Sites, in units of the cell vectors:
La1 0.0000 0.0000 0.0000  3 Pm 3.66-3.75, 7 La 3.67-3.78, 2 Tm 3.71-3.75
La2 0.0001 0.3318 0.6697  7 La 3.67-3.76, 3 Pm 3.69-3.75, 2 Tm 3.71-3.76
La3 0.0902 0.2468 0.2480  1 Tm 3.66, 7 La 3.66-3.79, 4 Pm 3.66-3.78
La4 0.0910 0.5738 0.9220  1 Tm 3.63, 7 La 3.66-3.78, 4 Pm 3.66-3.78
La5 0.5045 0.8326 0.1686  7 La 3.66-3.78, 4 Pm 3.72-3.75, 1 Tm 3.74
La6 0.5047 0.4990 0.5015  7 La 3.70-3.76, 4 Pm 3.70-3.75, 1 Tm 3.74
La7 0.5864 0.0778 0.4267  1 Tm 3.63, 7 La 3.66-3.79, 4 Pm 3.66-3.78
La8 0.5855 0.7517 0.7530  1 Tm 3.65, 7 La 3.66-3.78, 4 Pm 3.66-3.78
Pm1 0.0071 0.6658 0.3349  2 Pm 3.64-3.66, 10 La 3.67-3.75
Pm2 0.0771 0.9140 0.5889  1 Tm 3.64, 1 Pm 3.64, 10 La 3.66-3.78
Pm3 0.5798 0.4108 0.0865  1 Tm 3.63, 10 La 3.66-3.78, 1 Pm 3.66
Tm1 0.5042 0.1655 0.8351  10 La 3.63-3.76, 2 Pm 3.63-3.64

A geometry-optimized LaPm2Tm structure, computed with PBE-GGA.

Computed properties:
The total energy is -18.8 eV per cell. As for the energy of formation from the pure elements: 0.0194 eV per atom. The magnetic moment is 0.0 μB per formula unit. The offset from the most stable computed form is 0.000 eV/atom.

Unit cell a=5.1190 b=5.1190 c=5.1707 alpha=90.00 beta=90.00 gamma=90.00
Closest atoms and distances in Å follow each position.
Sites, in units of the cell vectors:
La1 0.0000 0.0000 0.0000  4 Tm 3.62, 8 Pm 3.64
Pm1 0.0000 0.5000 0.5000  4 Pm 3.62, 4 La 3.64, 4 Tm 3.64
Pm2 0.5000 0.0000 0.5000  4 Pm 3.62, 4 La 3.64, 4 Tm 3.64
Tm1 0.5000 0.5000 0.0000  4 La 3.62, 8 Pm 3.64

A geometry-optimized LaPm3Tm2 structure, computed with PBE-GGA.

Computed properties:
The total energy is -26.2 eV per cell. As for the energy of formation from the pure elements: 0.3124 eV per atom. The magnetic moment is 0.0 μB per formula unit. The offset from the most stable computed form is 0.037 eV/atom.

Unit cell a=10.4621 b=10.4621 c=10.4621 alpha=160.81 beta=146.97 gamma=38.49
Closest atoms and distances in Å follow each position.
Sites, in units of the cell vectors:
La1 0.0000 0.0000 0.0000  2 Pm 2.97
Pm1 0.1928 0.1928 0.0000  5 Tm 3.34-3.61, 2 Pm 3.49
Pm2 0.5000 0.0000 0.5000  2 La 2.97, 4 Tm 3.24
Pm3 0.8072 0.8072 0.0000  5 Tm 3.34-3.61, 2 Pm 3.49
Tm1 0.3621 0.3621 0.0000  7 Pm 3.24-3.61, 2 Tm 3.49
Tm2 0.6379 0.6379 0.0000  7 Pm 3.24-3.61, 2 Tm 3.49

A geometry-optimized LaPm3Tm structure, computed with PBE-GGA.

Computed properties:
The total energy is -46.1 eV per cell. As for the energy of formation from the pure elements: 0.1233 eV per atom. The magnetic moment is 0.0 μB per formula unit. The offset from the most stable computed form is 0.000 eV/atom.

Unit cell a=6.8880 b=6.8880 c=8.7202 alpha=106.74 beta=106.74 gamma=62.38
Closest atoms and distances in Å follow each position.
Sites, in units of the cell vectors:
La1 0.0555 0.0555 0.2233  8 Pm 3.48-3.69, 2 Tm 3.57, 1 La 3.67
La2 0.9445 0.9445 0.7767  8 Pm 3.48-3.69, 2 Tm 3.57, 1 La 3.67
Pm1 0.0966 0.5950 0.3843  6 Pm 3.50-3.63, 3 Tm 3.64-3.68, 3 La 3.69
Pm2 0.2515 0.2515 0.9991  2 Tm 3.47-3.48, 2 La 3.48-3.49, 6 Pm 3.57-3.63
Pm3 0.4050 0.9034 0.6157  6 Pm 3.50-3.63, 3 Tm 3.64-3.68, 3 La 3.69
Pm4 0.5950 0.0966 0.3843  6 Pm 3.50-3.63, 3 Tm 3.64-3.68, 3 La 3.69
Pm5 0.7485 0.7485 0.0009  2 Tm 3.47-3.48, 2 La 3.48-3.49, 6 Pm 3.57-3.63
Pm6 0.9034 0.4050 0.6157  6 Pm 3.50-3.63, 3 Tm 3.64-3.68, 3 La 3.69
Tm1 0.4429 0.4429 0.7718  8 Pm 3.47-3.68, 2 La 3.57, 1 Tm 3.75
Tm2 0.5571 0.5571 0.2282  8 Pm 3.47-3.68, 2 La 3.57, 1 Tm 3.75

A geometry-optimized LaPmTm4 structure, computed with PBE-GGA.

Computed properties:
The total energy is -25.9 eV per cell. As for the energy of formation from the pure elements: 0.2772 eV per atom. The magnetic moment is 5.4 μB per formula unit. The offset from the most stable computed form is 0.197 eV/atom.

Unit cell a=6.6552 b=6.6552 c=6.6552 alpha=60.00 beta=60.00 gamma=60.00
Closest atoms and distances in Å follow each position.
Sites, in units of the cell vectors:
La1 0.0000 0.0000 0.0000  12 Tm 3.90, 4 Pm 4.08
Pm1 0.2500 0.2500 0.2500  12 Tm 3.90, 4 La 4.08
Tm1 0.1258 0.6247 0.6247  6 Tm 3.32-3.33
Tm2 0.6247 0.1258 0.6247  6 Tm 3.32-3.33
Tm3 0.6247 0.6247 0.1258  6 Tm 3.32-3.33
Tm4 0.6247 0.6247 0.6247  6 Tm 3.32-3.33

A geometry-optimized LaPm2Tm structure, computed with PBE-GGA.

Computed properties:
The total energy is -18.8 eV per cell. As for the energy of formation from the pure elements: 0.0237 eV per atom. The magnetic moment is 0.0 μB per formula unit. The offset from the most stable computed form is 0.004 eV/atom.

Unit cell a=3.6351 b=3.6351 c=12.0600 alpha=98.68 beta=98.68 gamma=59.96
Closest atoms and distances in Å follow each position.
Sites, in units of the cell vectors:
La1 0.0000 0.0000 0.0000  6 La 3.63-3.64, 6 Pm 3.72-3.73
Pm1 0.5815 0.5815 0.7407  3 Tm 3.55, 6 Pm 3.63-3.64, 3 La 3.72-3.73
Pm2 0.7538 0.7538 0.2594  3 Tm 3.54, 6 Pm 3.63-3.64, 3 La 3.73
Tm1 0.1665 0.1665 0.4997  6 Pm 3.54-3.55, 6 Tm 3.63-3.64

- What is the energy of formation from the pure elements in the fourth record?
  0.1233 eV per atom

Repeat the fifth record exactly.
A geometry-optimized LaPmTm4 structure, computed with PBE-GGA.

Computed properties:
The total energy is -25.9 eV per cell. As for the energy of formation from the pure elements: 0.2772 eV per atom. The magnetic moment is 5.4 μB per formula unit. The offset from the most stable computed form is 0.197 eV/atom.

Unit cell a=6.6552 b=6.6552 c=6.6552 alpha=60.00 beta=60.00 gamma=60.00
Closest atoms and distances in Å follow each position.
Sites, in units of the cell vectors:
La1 0.0000 0.0000 0.0000  12 Tm 3.90, 4 Pm 4.08
Pm1 0.2500 0.2500 0.2500  12 Tm 3.90, 4 La 4.08
Tm1 0.1258 0.6247 0.6247  6 Tm 3.32-3.33
Tm2 0.6247 0.1258 0.6247  6 Tm 3.32-3.33
Tm3 0.6247 0.6247 0.1258  6 Tm 3.32-3.33
Tm4 0.6247 0.6247 0.6247  6 Tm 3.32-3.33

- Look up the energy of formation from the pure elements of the third one.
  0.3124 eV per atom

- Among the records above, which one has the lowest energy of formation from the pure elements?
  number 2